Entry 1:
Density functional theory data (GGA-PBE) for a relaxed La2Ga7Ag crystal.

Output
- Crystal system: tetragonal
- Fermi-level density of states: 0.3660 states/eV per atom

Unit cell a=4.4315 b=4.4315 c=10.6140 alpha=90.00 beta=90.00 gamma=90.00
With the nearest neighbours (Å) after each atom.
Sites, in units of the cell vectors:
1 La 0.0000 0.5000 0.2483  14 Ga 3.37-3.47, 2 Ag 3.47
2 La 0.5000 0.0000 0.7517  14 Ga 3.37-3.47, 2 Ag 3.47
3 Ga 0.0000 0.0000 0.0000  4 Ga 2.62
4 Ga 0.0000 0.5000 0.6340  3 Ga 2.48-2.63, 2 Ag 2.63
5 Ga 0.0000 0.5000 0.8679  5 Ga 2.48-2.62
6 Ga 0.5000 0.0000 0.1321  5 Ga 2.48-2.62
7 Ga 0.5000 0.0000 0.3660  3 Ga 2.48-2.63, 2 Ag 2.63
8 Ga 0.5000 0.5000 0.0000  4 Ga 2.62
9 Ga 0.5000 0.5000 0.5000  4 Ga 2.63
10 Ag 0.0000 0.0000 0.5000  4 Ga 2.63

Entry 2:
Density functional theory data (GGA-PBE) for a relaxed La2Ga3Ag6 crystal.

Output
- Crystal system: hexagonal
- Fermi-level density of states: 0.4988 states/eV per atom

Unit cell a=7.8881 b=7.8881 c=4.4590 alpha=90.00 beta=90.00 gamma=120.00
With the nearest neighbours (Å) after each atom.
Sites, in units of the cell vectors:
1 La 0.3333 0.6667 0.0000  9 Ag 3.26-3.61, 6 Ga 3.32
2 La 0.6667 0.3333 0.0000  9 Ag 3.26-3.61, 6 Ga 3.32
3 Ga 0.0000 0.6160 0.5000  5 Ag 2.61-2.73
4 Ga 0.3840 0.3840 0.5000  5 Ag 2.61-2.73
5 Ga 0.6160 0.0000 0.5000  5 Ag 2.61-2.73
6 Ag 0.0000 0.2857 0.5000  3 Ga 2.61-2.73
7 Ag 0.0000 0.7951 0.0000  2 Ga 2.64, 2 Ag 2.80
8 Ag 0.2049 0.2049 0.0000  2 Ga 2.64, 2 Ag 2.80
9 Ag 0.2857 0.0000 0.5000  3 Ga 2.61-2.73
10 Ag 0.7143 0.7143 0.5000  3 Ga 2.61-2.73
11 Ag 0.7951 0.0000 0.0000  2 Ga 2.64, 2 Ag 2.80

Entry 3:
Density functional theory data (GGA-PBE) for a relaxed La3Ga2Ag4 crystal.

Output
- Crystal system: monoclinic
- Fermi-level density of states: 0.8118 states/eV per atom

Unit cell a=6.0679 b=6.0679 c=9.0579 alpha=112.34 beta=112.34 gamma=46.17
With the nearest neighbours (Å) after each atom.
Sites, in units of the cell vectors:
1 La 0.0000 0.0000 0.0000  8 Ag 3.26-3.44, 4 Ga 3.40
2 La 0.3402 0.3402 0.3295  8 Ag 3.26-3.39, 4 Ga 3.28-3.31, 1 La 3.63
3 La 0.6598 0.6598 0.6705  8 Ag 3.26-3.39, 4 Ga 3.28-3.31, 1 La 3.63
4 Ga 0.3769 0.3769 0.7080  3 Ag 2.71
5 Ga 0.6231 0.6231 0.2920  3 Ag 2.71
6 Ag 0.0745 0.0745 0.4007  2 Ga 2.71, 1 Ag 2.91
7 Ag 0.2859 0.2859 0.9426  1 Ga 2.71, 2 Ag 2.84
8 Ag 0.7141 0.7141 0.0574  1 Ga 2.71, 2 Ag 2.84
9 Ag 0.9255 0.9255 0.5993  2 Ga 2.71, 1 Ag 2.91

Entry 4:
Density functional theory data (GGA-PBE) for a relaxed LaGa2Ag crystal.

Output
- Crystal system: trigonal
- Fermi-level density of states: 0.5201 states/eV per atom
- ΔE to the lowest computed polymorph: 42.5 meV per atom

Unit cell a=4.4614 b=4.4614 c=15.8735 alpha=90.00 beta=90.00 gamma=120.00
With the nearest neighbours (Å) after each atom.
Sites, in units of the cell vectors:
1 La 0.0000 0.0000 0.0000  8 Ga 3.18-3.43
2 La 0.3333 0.6667 0.6667  8 Ga 3.18-3.43
3 La 0.6667 0.3333 0.3333  8 Ga 3.18-3.43
4 Ga 0.0000 0.0000 0.2161  3 Ag 2.69
5 Ga 0.0000 0.0000 0.7839  3 Ag 2.69
6 Ga 0.3333 0.6667 0.4506  3 Ag 2.69
7 Ga 0.3333 0.6667 0.8827  3 Ag 2.69
8 Ga 0.6667 0.3333 0.1173  3 Ag 2.69
9 Ga 0.6667 0.3333 0.5494  3 Ag 2.69
10 Ag 0.0000 0.0000 0.5000  6 Ga 2.69
11 Ag 0.3333 0.6667 0.1667  6 Ga 2.69
12 Ag 0.6667 0.3333 0.8333  6 Ga 2.69

Entry 5:
Density functional theory data (GGA-PBE) for a relaxed La2Ga7Ag12 crystal.

Output
- Crystal system: trigonal
- Fermi-level density of states: 0.3416 states/eV per atom

Unit cell a=10.6933 b=10.6933 c=4.1915 alpha=90.00 beta=90.00 gamma=120.00
With the nearest neighbours (Å) after each atom.
Sites, in units of the cell vectors:
1 La 0.3333 0.6667 0.2433  6 Ga 3.27, 6 Ag 3.46-3.51
2 La 0.6667 0.3333 0.7567  6 Ga 3.27, 6 Ag 3.46-3.51
3 Ga 0.0000 0.0000 0.5000  6 Ag 2.65
4 Ga 0.1224 0.7083 0.7430  7 Ag 2.66-2.76
5 Ga 0.2917 0.4141 0.7430  7 Ag 2.66-2.76
6 Ga 0.4141 0.1224 0.2570  7 Ag 2.66-2.76
7 Ga 0.5859 0.8776 0.7430  7 Ag 2.66-2.76
8 Ga 0.7083 0.5859 0.2570  7 Ag 2.66-2.76
9 Ga 0.8776 0.2917 0.2570  7 Ag 2.66-2.76
10 Ag 0.0528 0.4324 0.7520  4 Ga 2.66-2.73, 1 Ag 2.94
11 Ag 0.1176 0.2597 0.2354  4 Ga 2.65-2.76, 1 Ag 2.94
12 Ag 0.1421 0.8824 0.2354  4 Ga 2.65-2.76, 1 Ag 2.94
13 Ag 0.2597 0.1421 0.7646  4 Ga 2.65-2.76, 1 Ag 2.94
14 Ag 0.3796 0.9472 0.7520  4 Ga 2.66-2.73, 1 Ag 2.94
15 Ag 0.4324 0.3796 0.2480  4 Ga 2.66-2.73, 1 Ag 2.94
16 Ag 0.5676 0.6204 0.7520  4 Ga 2.66-2.73, 1 Ag 2.94
17 Ag 0.6204 0.0528 0.2480  4 Ga 2.66-2.73, 1 Ag 2.94
18 Ag 0.7403 0.8579 0.2354  4 Ga 2.65-2.76, 1 Ag 2.94
19 Ag 0.8579 0.1176 0.7646  4 Ga 2.65-2.76, 1 Ag 2.94
20 Ag 0.8824 0.7403 0.7646  4 Ga 2.65-2.76, 1 Ag 2.94
21 Ag 0.9472 0.5676 0.2480  4 Ga 2.66-2.73, 1 Ag 2.94

Entry 6:
Density functional theory data (GGA-PBE) for a relaxed La2GaAg2 crystal.

Output
- Crystal system: tetragonal
- Fermi-level density of states: 1.4493 states/eV per atom
- ΔE to the lowest computed polymorph: 242.2 meV per atom

Unit cell a=8.6716 b=8.6716 c=3.7697 alpha=90.00 beta=90.00 gamma=90.00
With the nearest neighbours (Å) after each atom.
Sites, in units of the cell vectors:
1 La 0.1747 0.3253 0.0000  6 Ag 3.14-3.21, 2 Ga 3.20
2 La 0.3253 0.8253 0.0000  6 Ag 3.14-3.21, 2 Ga 3.20
3 La 0.6747 0.1747 0.0000  6 Ag 3.14-3.21, 2 Ga 3.20
4 La 0.8253 0.6747 0.0000  6 Ag 3.14-3.21, 2 Ga 3.20
5 Ga 0.0000 0.0000 0.0000  4 La 3.20
6 Ga 0.5000 0.5000 0.0000  4 La 3.20
7 Ag 0.1203 0.6203 0.5000  1 Ag 2.95, 6 La 3.14-3.21
8 Ag 0.3797 0.1203 0.5000  1 Ag 2.95, 6 La 3.14-3.21
9 Ag 0.6203 0.8797 0.5000  1 Ag 2.95, 6 La 3.14-3.21
10 Ag 0.8797 0.3797 0.5000  1 Ag 2.95, 6 La 3.14-3.21

| no. | formation enthalpy at 0 K (eV per atom) | raw total energy (Ry/atom) | magnetic moment (μB/cell) |
| --- | --- | --- | --- |
| 1 | -0.505 | -0.286 | 0.000 |
| 2 | -0.286 | -0.262 | 0.000 |
| 3 | -0.409 | -0.293 | 0.000 |
| 4 | -0.465 | -0.288 | 0.000 |
| 5 | -0.180 | -0.242 | 0.000 |
| 6 | -0.123 | -0.282 | 0.000 |